Entry 1:
The following is a PBE calculation of an optimized crystal structure of Ga3Pt2Rh3, from Alexandria via LeMat-Bulk.

Unit cell a=3.0118 b=4.3837 c=9.2247 alpha=103.75 beta=99.40 gamma=90.00
Positions (direct):
Ga1 0.1205 0.1205 0.2410
Ga2 0.0000 0.5000 0.0000
Ga3 0.8795 0.8795 0.7590
Pt1 0.7361 0.2361 0.4722
Pt2 0.2639 0.7639 0.5278
Rh1 0.6176 0.6176 0.2353
Rh2 0.5000 0.0000 0.0000
Rh3 0.3824 0.3824 0.7647

Properties
Energy (eV/atom): -5.93
Formation energy (eV/f.u.): -4.21

---

Entry 2:
The following is a PBE calculation of an optimized crystal structure of Pm2Ho3TmSb6, from Alexandria via LeMat-Bulk.

Unit cell a=4.4060 b=8.8085 c=9.8477 alpha=102.89 beta=102.93 gamma=90.00
Positions (direct):
Pm1 0.1657 0.3323 0.3315
Pm2 0.8343 0.6677 0.6685
Tm1 0.5000 0.0000 0.0000
Sb1 0.3345 0.9233 0.6690
Sb2 0.6650 0.5878 0.3301
Sb3 0.3350 0.4122 0.6699
Sb4 0.0027 0.7531 0.0054
Sb5 0.9973 0.2469 0.9946
Sb6 0.6655 0.0767 0.3310
Ho1 0.1681 0.8338 0.3361
Ho2 0.5000 0.5000 0.0000
Ho3 0.8319 0.1662 0.6639

Properties
Energy (eV/atom): -5.50
Energy relative to the elements, uncorrected (kJ/mol of atoms): -109

---

Entry 3:
The following is a PBE calculation of an optimized crystal structure of TbGdPdPb, from Alexandria via LeMat-Bulk.

Unit cell a=5.2426 b=5.2426 c=5.2426 alpha=60.00 beta=60.00 gamma=60.00
Site moments in Bohr magnetons follow the coordinates.
Positions (direct):
Tb1 0.2500 0.2500 0.2500  0.06
Gd1 0.7500 0.7500 0.7500  7.06
Pd1 0.0000 0.0000 0.0000  -0.02
Pb1 0.5000 0.5000 0.5000  -0.02

Properties
Energy (eV/atom): -7.52
Formation energy (eV/f.u.): -2.46

---

Values for M_tot, μB/cell, ordered as above
0.00; 0.00; 7.25
Values for DOS(E_F), states/eV per atom, ordered as above
0.605; 0.160; 0.942